A relaxed structure of PaMnFeB2, computed with PBE-GGA.

Lattice parameters (Å, degrees): 4.7995 4.7995 4.7995 133.85 133.85 67.33
Positions (direct):
Pa1 0.0000 0.0000 0.0000
Mn1 0.7500 0.2500 0.5000
Fe1 0.2500 0.7500 0.5000
B1 0.3793 0.3793 0.0000
B2 0.6207 0.6207 0.0000

## Properties
Formation energy from the elements   -0.42 eV/atom
N(E_F)   3.80 states/eV/f.u.
SG   I-4m2, No. 119

***

A relaxed structure of MnFeB2Pb, computed with PBE-GGA.

Lattice parameters (Å, degrees): 3.9166 3.9166 4.7556 90.00 90.00 90.00
Positions (direct):
Mn1 0.0000 0.0000 0.0000
Fe1 0.0000 0.0000 0.5000
B1 0.0000 0.5000 0.5000
B2 0.5000 0.0000 0.5000
Pb1 0.5000 0.5000 0.0000

## Properties
Formation energy from the elements   0.88 eV/atom
N(E_F)   2.60 states/eV/f.u.
SG   P4/mmm, No. 123

***

A relaxed structure of MnFe5Re2B2, computed with PBE-GGA.

Lattice parameters (Å, degrees): 8.5540 8.5540 2.8490 90.00 90.00 90.00
Positions (direct):
Mn1 0.0000 0.0000 0.0000
Mn2 0.5000 0.5000 0.0000
Fe1 0.0000 0.5000 0.5000
Fe2 0.0649 0.2158 0.5000
Fe3 0.2158 0.9351 0.5000
Fe4 0.2842 0.4351 0.5000
Fe5 0.4351 0.7158 0.5000
Fe6 0.5000 0.0000 0.5000
Fe7 0.5649 0.2842 0.5000
Fe8 0.7158 0.5649 0.5000
Fe9 0.7842 0.0649 0.5000
Fe10 0.9351 0.7842 0.5000
Re1 0.1794 0.6794 0.0000
Re2 0.3206 0.1794 0.0000
Re3 0.6794 0.8206 0.0000
Re4 0.8206 0.3206 0.0000
B1 0.1226 0.3774 0.0000
B2 0.3774 0.8774 0.0000
B3 0.6226 0.1226 0.0000
B4 0.8774 0.6226 0.0000

## Properties
Formation energy from the elements   -0.12 eV/atom
N(E_F)   8.37 states/eV/f.u.
SG   P4/mbm, No. 127

***

A relaxed structure of ScMnFeB2, computed with PBE-GGA.

Lattice parameters (Å, degrees): 5.1523 5.1523 5.1523 141.47 141.47 55.63
Positions (direct):
Sc1 0.0000 0.0000 0.0000
Mn1 0.7500 0.2500 0.5000
Fe1 0.2500 0.7500 0.5000
B1 0.3982 0.3982 0.0000
B2 0.6018 0.6018 0.0000

## Properties
Formation energy from the elements   -0.51 eV/atom
N(E_F)   2.37 states/eV/f.u.
SG   I-4m2, No. 119

***

A relaxed structure of Sc2Mn5FeB2, computed with PBE-GGA.

Lattice parameters (Å, degrees): 8.8648 8.8648 3.0164 90.00 90.00 90.00
Positions (direct):
Sc1 0.1729 0.3271 0.0000
Sc2 0.3271 0.8271 0.0000
Sc3 0.6729 0.1729 0.0000
Sc4 0.8271 0.6729 0.0000
Mn1 0.0000 0.5000 0.5000
Mn2 0.0672 0.7883 0.5000
Mn3 0.2117 0.0672 0.5000
Mn4 0.2883 0.5672 0.5000
Mn5 0.4328 0.2883 0.5000
Mn6 0.5000 0.0000 0.5000
Mn7 0.5672 0.7117 0.5000
Mn8 0.7117 0.4328 0.5000
Mn9 0.7883 0.9328 0.5000
Mn10 0.9328 0.2117 0.5000
Fe1 0.0000 0.0000 0.0000
Fe2 0.5000 0.5000 0.0000
B1 0.1210 0.6210 0.0000
B2 0.3790 0.1210 0.0000
B3 0.6210 0.8790 0.0000
B4 0.8790 0.3790 0.0000

## Properties
Formation energy from the elements   -0.20 eV/atom
N(E_F)   11.49 states/eV/f.u.
SG   P4/mbm, No. 127

***

A relaxed structure of Mn2Fe5SiB2, computed with PBE-GGA.

Lattice parameters (Å, degrees): 8.4392 8.4392 2.7824 90.00 90.00 90.00
Positions (direct):
Mn1 0.1754 0.3246 0.0000
Mn2 0.3246 0.8246 0.0000
Mn3 0.6754 0.1754 0.0000
Mn4 0.8246 0.6754 0.0000
Fe1 0.0000 0.5000 0.5000
Fe2 0.0683 0.7880 0.5000
Fe3 0.2120 0.0683 0.5000
Fe4 0.2880 0.5683 0.5000
Fe5 0.4317 0.2880 0.5000
Fe6 0.5000 0.0000 0.5000
Fe7 0.5683 0.7120 0.5000
Fe8 0.7120 0.4317 0.5000
Fe9 0.7880 0.9317 0.5000
Fe10 0.9317 0.2120 0.5000
Si1 0.0000 0.0000 0.0000
Si2 0.5000 0.5000 0.0000
B1 0.1243 0.6243 0.0000
B2 0.3757 0.1243 0.0000
B3 0.6243 0.8757 0.0000
B4 0.8757 0.3757 0.0000

## Properties
ΔE_f (raw)   -0.2893 eV/atom
N(E_F)   6.36 states/eV/f.u.
SG   P4/mbm, No. 127

***

A relaxed structure of MnFeSi2B, computed with PBE-GGA.

Lattice parameters (Å, degrees): 4.3379 4.3379 3.7783 90.00 90.00 90.00
Positions (direct):
Mn1 0.0000 0.0000 0.0000
Fe1 0.5000 0.5000 0.5000
Si1 0.0000 0.5000 0.5000
Si2 0.5000 0.0000 0.5000
B1 0.5000 0.5000 0.0000

## Properties
ΔE_f (raw)   0.6213 eV/atom
N(E_F)   3.12 states/eV/f.u.
SG   P4/mmm, No. 123

***

A relaxed structure of TbMnFeB2, computed with PBE-GGA.

Lattice parameters (Å, degrees): 5.5000 5.5000 5.5000 142.18 142.18 54.56
Positions (direct):
Tb1 0.0000 0.0000 0.0000
Mn1 0.2500 0.7500 0.5000
Fe1 0.7500 0.2500 0.5000
B1 0.3552 0.3552 0.0000
B2 0.6448 0.6448 0.0000

## Properties
Formation energy from the elements   -0.39 eV/atom
N(E_F)   3.09 states/eV/f.u.
SG   I-4m2, No. 119